! Ca2LaPr7 | Alexandria via LeMat-Bulk | PBE | optimized geometry; values from VASP
! density = 5.4 g/cm³
! DOS(E_F) = 16.05 states/eV/cell
! crystal system = orthorhombic
! volume = 36.86 Å³/atom
! VASP energy = -41.59 eV/f.u.
&SYSTEM
  ibrav = 0, nat = 10, ntyp = 3
/
ATOMIC_SPECIES
Ca 40.08 Ca.upf
Pr 140.91 Pr.upf
La 138.91 La.upf
CELL_PARAMETERS angstrom
5.3890 -1.6337 0.8203
-3.0599 7.7805 -3.9070
1.5299 0.1124 9.9246
ATOMIC_POSITIONS crystal
Ca 0.5000 0.2999 0.5998
Pr 0.0000 0.1949 0.3897
La 0.0000 0.0000 0.0000
Ca 0.5000 0.7001 0.4002
Pr 0.2548 0.8574 0.2064
Pr 0.7452 0.3489 0.2064
Pr 0.0000 0.8051 0.6103
Pr 0.2548 0.6511 0.7936
Pr 0.5000 0.5000 0.0000
Pr 0.7452 0.1426 0.7936

! CaLa6Pr2 | Alexandria via LeMat-Bulk | PBE | optimized geometry; values from VASP
! density = 5.7 g/cm³
! DOS(E_F) = 23.62 states/eV/cell
! crystal system = triclinic
! volume = 37.65 Å³/atom
! VASP energy = -40.14 eV/f.u.
&SYSTEM
  ibrav = 0, nat = 18, ntyp = 3
/
ATOMIC_SPECIES
La 138.91 La.upf
Ca 40.08 Ca.upf
Pr 140.91 Pr.upf
CELL_PARAMETERS angstrom
8.8556 -2.1428 -0.6006
-4.5403 7.2855 -0.4515
5.4963 6.5927 11.0246
ATOMIC_POSITIONS crystal
La 0.2776 0.4123 0.4692
La 0.2459 0.5371 0.9507
La 0.7450 0.2261 0.8824
Ca 0.3083 0.9526 0.7501
Ca 0.6917 0.0474 0.2499
Pr 0.8038 0.6895 0.2503
La 0.3519 0.0620 0.4501
La 0.2550 0.7739 0.1176
La 0.2846 0.1508 0.9693
Pr 0.1962 0.3105 0.7497
La 0.6481 0.9380 0.5499
Pr 0.7796 0.7386 0.7499
La 0.0099 0.4922 0.6179
Pr 0.2204 0.2614 0.2501
La 0.7224 0.5877 0.5308
La 0.7541 0.4629 0.0493
La 0.7154 0.8492 0.0307
La 0.9901 0.5078 0.3821

! Ca2La15Pr2 | Alexandria via LeMat-Bulk | PBE | optimized geometry; values from VASP
! density = 5.6 g/cm³
! DOS(E_F) = 32.93 states/eV/cell
! crystal system = trigonal
! volume = 38.38 Å³/atom
! VASP energy = -83.91 eV/f.u.
&SYSTEM
  ibrav = 0, nat = 19, ntyp = 3
/
ATOMIC_SPECIES
La 138.91 La.upf
Pr 140.91 Pr.upf
Ca 40.08 Ca.upf
CELL_PARAMETERS angstrom
8.9236 -0.3201 1.7158
1.3569 8.8256 1.7158
-0.3870 -0.3201 9.0788
ATOMIC_POSITIONS crystal
La 0.0000 0.0000 0.5000
La 0.0000 0.2972 0.7028
La 0.3619 0.3619 0.8497
Pr 0.0940 0.0940 0.0940
Pr 0.9060 0.9060 0.9060
La 0.2972 0.0000 0.7028
La 0.0000 0.5000 0.0000
La 0.3619 0.8497 0.3619
La 0.2972 0.7028 0.0000
La 0.0000 0.7028 0.2972
La 0.8497 0.3619 0.3619
La 0.5000 0.0000 0.0000
La 0.6381 0.1503 0.6381
Ca 0.6677 0.6677 0.6677
La 0.7028 0.0000 0.2972
Ca 0.3323 0.3323 0.3323
La 0.7028 0.2972 0.0000
La 0.1503 0.6381 0.6381
La 0.6381 0.6381 0.1503

! Ca2LaPr | Alexandria via LeMat-Bulk | PBE | optimized geometry; values from VASP
! density = 3.8 g/cm³
! DOS(E_F) = 6.14 states/eV/cell
! crystal system = tetragonal
! volume = 38.88 Å³/atom
! VASP energy = -13.30 eV/f.u.
&SYSTEM
  ibrav = 0, nat = 4, ntyp = 3
/
ATOMIC_SPECIES
Ca 40.08 Ca.upf
Pr 140.91 Pr.upf
La 138.91 La.upf
CELL_PARAMETERS angstrom
4.2702 0.0000 0.0000
0.0000 4.2702 0.0000
0.0000 0.0000 8.5284
ATOMIC_POSITIONS crystal
Ca 0.0000 0.0000 0.7541
Pr 0.5000 0.5000 0.0000
Ca 0.0000 0.0000 0.2459
La 0.5000 0.5000 0.5000

! Ca2La12Pr5 | Alexandria via LeMat-Bulk | PBE | optimized geometry; values from VASP
! density = 5.7 g/cm³
! DOS(E_F) = 31.19 states/eV/cell
! crystal system = monoclinic
! volume = 37.26 Å³/atom
! VASP energy = -85.10 eV/f.u.
&SYSTEM
  ibrav = 0, nat = 19, ntyp = 3
/
ATOMIC_SPECIES
Pr 140.91 Pr.upf
La 138.91 La.upf
Ca 40.08 Ca.upf
CELL_PARAMETERS angstrom
11.9759 0.0000 0.0000
-5.9879 6.7480 0.5493
0.0000 3.6196 9.0555
ATOMIC_POSITIONS crystal
Pr 0.6902 0.3804 0.7637
La 0.1273 0.2545 0.0552
Pr 0.8091 0.6182 0.3293
La 0.9456 0.3824 0.1971
La 0.5633 0.6176 0.8029
La 0.8727 0.7455 0.9448
Pr 0.0000 0.0000 0.5000
La 0.4256 0.8513 0.7770
La 0.3865 0.2162 0.5720
La 0.1702 0.7838 0.4280
La 0.5744 0.1487 0.2230
La 0.0544 0.6176 0.8029
La 0.8298 0.2162 0.5720
La 0.4367 0.3824 0.1971
Ca 0.7320 0.0000 0.0000
Pr 0.1909 0.3818 0.6707
La 0.6135 0.7838 0.4280
Ca 0.2680 0.0000 0.0000
Pr 0.3098 0.6196 0.2363

! CaLa3Pr | Alexandria via LeMat-Bulk | PBE | optimized geometry; values from VASP
! density = 4.8 g/cm³
! DOS(E_F) = 17.56 states/eV/cell
! crystal system = trigonal
! volume = 41.44 Å³/atom
! VASP energy = -19.91 eV/f.u.
&SYSTEM
  ibrav = 0, nat = 10, ntyp = 3
/
ATOMIC_SPECIES
La 138.91 La.upf
Ca 40.08 Ca.upf
Pr 140.91 Pr.upf
CELL_PARAMETERS angstrom
6.2980 0.0000 0.0000
3.1490 5.4542 0.0000
3.1490 1.8181 12.0642
ATOMIC_POSITIONS crystal
La 0.8966 0.5905 0.2625
Ca 0.6678 0.6678 0.9967
La 0.2503 0.8966 0.2625
Pr 0.8326 0.8326 0.5022
La 0.7497 0.1034 0.7375
La 0.1034 0.4095 0.7375
Pr 0.1674 0.1674 0.4978
La 0.5905 0.2503 0.2625
La 0.4095 0.7497 0.7375
Ca 0.3322 0.3322 0.0035

! Ca3La2Pr2 | Alexandria via LeMat-Bulk | PBE | optimized geometry; values from VASP
! density = 4.1 g/cm³
! DOS(E_F) = 10.02 states/eV/cell
! crystal system = orthorhombic
! volume = 39.28 Å³/atom
! VASP energy = -25.05 eV/f.u.
&SYSTEM
  ibrav = 0, nat = 7, ntyp = 3
/
ATOMIC_SPECIES
La 138.91 La.upf
Ca 40.08 Ca.upf
Pr 140.91 Pr.upf
CELL_PARAMETERS angstrom
-3.4642 -0.6688 -1.0609
0.9352 -5.7420 0.5657
-3.3684 -2.2974 12.4464
ATOMIC_POSITIONS crystal
La 0.5000 0.7195 0.5610
Ca 0.5000 0.5754 0.8491
La 0.5000 0.2805 0.4390
Ca 0.5000 0.4246 0.1509
Pr 0.0000 0.1529 0.6942
Pr 0.0000 0.8471 0.3058
Ca 0.0000 0.0000 0.0000

! Ca3LaPr12 | Alexandria via LeMat-Bulk | PBE | optimized geometry; values from VASP
! density = 5.5 g/cm³
! DOS(E_F) = 26.76 states/eV/cell
! crystal system = tetragonal
! volume = 36.78 Å³/atom
! VASP energy = -67.48 eV/f.u.
&SYSTEM
  ibrav = 0, nat = 16, ntyp = 3
/
ATOMIC_SPECIES
Pr 140.91 Pr.upf
Ca 40.08 Ca.upf
La 138.91 La.upf
CELL_PARAMETERS angstrom
-3.0816 1.6373 3.9652
-0.0029 -4.8830 2.0140
17.1314 4.6836 11.3801
ATOMIC_POSITIONS crystal
Pr 0.5000 0.0000 0.6251
Pr 0.5000 0.5000 0.2515
Ca 0.0000 0.0000 0.5000
Ca 0.0000 0.0000 0.7505
Pr 0.0000 0.5000 0.8774
Pr 0.5000 0.0000 0.8774
Pr 0.0000 0.5000 0.6251
Pr 0.0000 0.5000 0.1226
Pr 0.5000 0.5000 0.5000
Pr 0.5000 0.5000 0.0000
Pr 0.0000 0.5000 0.3749
Ca 0.0000 0.0000 0.2495
Pr 0.5000 0.5000 0.7485
Pr 0.5000 0.0000 0.3749
Pr 0.5000 0.0000 0.1226
La 0.0000 0.0000 0.0000

! CaLa7Pr3 | Alexandria via LeMat-Bulk | PBE | optimized geometry; values from VASP
! density = 5.7 g/cm³
! DOS(E_F) = 18.14 states/eV/cell
! crystal system = orthorhombic
! volume = 38.01 Å³/atom
! VASP energy = -48.58 eV/f.u.
&SYSTEM
  ibrav = 0, nat = 11, ntyp = 3
/
ATOMIC_SPECIES
La 138.91 La.upf
Pr 140.91 Pr.upf
Ca 40.08 Ca.upf
CELL_PARAMETERS angstrom
-3.7465 -3.9231 -3.0539
8.3052 -2.7877 -0.2730
0.6672 -2.2748 8.4381
ATOMIC_POSITIONS crystal
La 0.7002 0.4032 0.9972
La 0.2998 0.5968 0.0028
Pr 0.5000 0.0000 0.0000
La 0.7982 0.7984 0.7984
Pr 0.0000 0.7858 0.2142
La 0.7002 0.9972 0.4032
Pr 0.0000 0.2142 0.7858
La 0.0000 0.5000 0.5000
La 0.2018 0.2016 0.2016
Ca 0.5000 0.5000 0.5000
La 0.2998 0.0028 0.5968

! Ca2La3Pr2 | Alexandria via LeMat-Bulk | PBE | optimized geometry; values from VASP
! density = 4.9 g/cm³
! DOS(E_F) = 12.50 states/eV/cell
! crystal system = monoclinic
! volume = 37.67 Å³/atom
! VASP energy = -27.84 eV/f.u.
&SYSTEM
  ibrav = 0, nat = 7, ntyp = 3
/
ATOMIC_SPECIES
La 138.91 La.upf
Pr 140.91 Pr.upf
Ca 40.08 Ca.upf
CELL_PARAMETERS angstrom
5.1664 0.0000 1.3794
2.0021 5.5558 2.8662
0.1555 1.3225 9.7827
ATOMIC_POSITIONS crystal
La 0.5000 0.0000 0.0000
Pr 0.2194 0.7036 0.8576
Ca 0.0671 0.5815 0.2843
La 0.6541 0.1138 0.5781
Pr 0.7806 0.2964 0.1424
Ca 0.9329 0.4185 0.7157
La 0.3459 0.8862 0.4219

! CaLa3Pr12 | Alexandria via LeMat-Bulk | PBE | optimized geometry; values from VASP
! density = 6.1 g/cm³
! DOS(E_F) = 26.05 states/eV/cell
! crystal system = tetragonal
! volume = 36.63 Å³/atom
! VASP energy = -73.79 eV/f.u.
&SYSTEM
  ibrav = 0, nat = 16, ntyp = 3
/
ATOMIC_SPECIES
Pr 140.91 Pr.upf
La 138.91 La.upf
Ca 40.08 Ca.upf
CELL_PARAMETERS angstrom
-2.5853 0.9088 4.5122
-4.6026 -0.4610 -2.5443
-0.1751 -20.6351 4.0557
ATOMIC_POSITIONS crystal
Pr 0.5000 0.5000 0.2490
Pr 0.0000 0.5000 0.1277
Pr 0.5000 0.5000 0.5000
Pr 0.5000 0.0000 0.6244
La 0.0000 0.0000 0.2500
Pr 0.0000 0.5000 0.3756
Pr 0.5000 0.0000 0.1277
Pr 0.0000 0.5000 0.6244
Ca 0.0000 0.0000 0.0000
La 0.0000 0.0000 0.7500
Pr 0.5000 0.5000 0.7510
Pr 0.5000 0.0000 0.3756
La 0.0000 0.0000 0.5000
Pr 0.5000 0.0000 0.8723
Pr 0.0000 0.5000 0.8723
Pr 0.5000 0.5000 0.0000

! Ca2La2Pr3 | Alexandria via LeMat-Bulk | PBE | optimized geometry; values from VASP
! density = 4.9 g/cm³
! DOS(E_F) = 12.32 states/eV/cell
! crystal system = monoclinic
! volume = 37.46 Å³/atom
! VASP energy = -27.71 eV/f.u.
&SYSTEM
  ibrav = 0, nat = 7, ntyp = 3
/
ATOMIC_SPECIES
La 138.91 La.upf
Ca 40.08 Ca.upf
Pr 140.91 Pr.upf
CELL_PARAMETERS angstrom
-0.4904 0.5989 5.3215
4.1103 -3.5978 3.5008
8.6575 3.4132 3.1308
ATOMIC_POSITIONS crystal
La 0.7820 0.2926 0.1435
Ca 0.9316 0.4244 0.7123
Ca 0.0684 0.5756 0.2877
La 0.2180 0.7074 0.8565
Pr 0.5000 0.0000 0.0000
Pr 0.3500 0.8755 0.4245
Pr 0.6500 0.1245 0.5755